The following is a DFT calculation (PBE) of a relaxed MgH3Ir2 crystal.

## Properties
Its offset from the most stable computed form is 45 meV per atom. The calculation puts the density of states at the Fermi level at 0.3609 states/eV/atom. The calculation puts the calculated volume at 60 Å³ per cell. The magnetization is 0.00 μB per cell. Its space group is P1, No. 1.

Unit cell a=2.7816 b=4.1592 c=5.3928 alpha=92.77 beta=104.86 gamma=90.05
Element x y z (fractional)
Mg  0.0000  0.0000  0.0000
H  0.0445  0.5053  0.0833
H  0.3654  0.7404  0.7279
H  0.8295  0.2766  0.6543
Ir  0.2696  0.0359  0.5359
Ir  0.6493  0.5319  0.2943

***

The following is a DFT calculation (PBE) of a relaxed Mg6HIr2 crystal.

## Properties
Its offset from the most stable computed form is 41 meV per atom. The calculation puts the density of states at the Fermi level at 0.3449 states/eV/atom. The calculation puts the calculated volume at 145 Å³ per cell. The magnetization is 0.00 μB per cell. Its space group is P1, No. 1.

Unit cell a=4.6349 b=5.3193 c=5.8764 alpha=90.43 beta=90.02 gamma=90.43
Element x y z (fractional)
Mg  0.0000  0.0000  0.0000
Mg  0.0001  0.0018  0.5018
Mg  0.4976  0.6863  0.5095
Mg  0.4977  0.6904  0.9943
Mg  0.5004  0.2274  0.7542
Mg  0.9913  0.4583  0.2499
H  0.4479  0.4400  0.2476
Ir  0.5055  0.1293  0.2535
Ir  0.9956  0.5344  0.7506

***

The following is a DFT calculation (PBE) of a relaxed MgH3Ir2 crystal.

## Properties
Its offset from the most stable computed form is 0 meV per atom. The calculation puts the density of states at the Fermi level at 0.3391 states/eV/atom. The calculation puts the calculated volume at 57 Å³ per cell. The magnetization is 0.00 μB per cell. Its space group is P4mm, No. 99.

Unit cell a=3.0193 b=3.0193 c=6.2995 alpha=90.00 beta=90.00 gamma=90.00
Element x y z (fractional)
Mg  0.0000  0.0000  0.0000
H  0.0000  0.5000  0.7040
H  0.5000  0.0000  0.7040
H  0.5000  0.5000  0.9999
Ir  0.0000  0.0000  0.5622
Ir  0.5000  0.5000  0.2584

***

The following is a DFT calculation (PBE) of a relaxed Mg5H2Ir2 crystal.

## Properties
Its offset from the most stable computed form is 63 meV per atom. The calculation puts the density of states at the Fermi level at 0.3717 states/eV/atom. The calculation puts the calculated volume at 139 Å³ per cell. The magnetization is 0.00 μB per cell. Its space group is P1, No. 1.

Unit cell a=4.7479 b=5.4250 c=5.4260 alpha=95.71 beta=90.03 gamma=90.05
Element x y z (fractional)
Mg  0.0000  0.0000  0.0000
Mg  0.9995  0.3804  0.6190
Mg  0.2355  0.5355  0.1546
Mg  0.5114  0.0603  0.3123
Mg  0.5108  0.6923  0.6790
H  0.6901  0.3874  0.0059
H  0.7583  0.0375  0.6605
Ir  0.0304  0.8733  0.4925
Ir  0.4798  0.2071  0.8263

***

The following is a DFT calculation (PBE) of a relaxed Mg2HIr6 crystal.

## Properties
Its offset from the most stable computed form is 38 meV per atom. The calculation puts the density of states at the Fermi level at 0.6881 states/eV/atom. The calculation puts the calculated volume at 121 Å³ per cell. The magnetization is 0.00 μB per cell. Its space group is Amm2, No. 38.

Unit cell a=5.5631 b=4.7981 c=4.7981 alpha=71.35 beta=90.00 gamma=90.00
Element x y z (fractional)
Mg  0.2419  0.0000  0.0000
Mg  0.7581  0.0000  0.0000
H  0.5000  0.1523  0.1523
Ir  0.0000  0.5035  0.9963
Ir  0.0000  0.9963  0.5035
Ir  0.2452  0.4939  0.4939
Ir  0.5000  0.5241  0.9877
Ir  0.5000  0.9877  0.5241
Ir  0.7548  0.4939  0.4939

***

The following is a DFT calculation (PBE) of a relaxed Mg3H6Ir crystal.

## Properties
Its offset from the most stable computed form is 26 meV per atom. The calculation puts the density of states at the Fermi level at 0.0712 states/eV/atom. The calculation puts the calculated volume at 183 Å³ per cell. The magnetization is 0.00 μB per cell. Its space group is Cmc2_1, No. 36.

Unit cell a=6.5918 b=6.5918 c=4.4133 alpha=90.00 beta=90.00 gamma=107.38
Element x y z (fractional)
Mg  0.1118  0.8882  0.5000
Mg  0.1793  0.4216  0.5016
Mg  0.4216  0.1793  0.0016
Mg  0.5784  0.8207  0.5016
Mg  0.8207  0.5784  0.0016
Mg  0.8882  0.1118  0.0000
H  0.0967  0.4770  0.0019
H  0.1419  0.8581  0.9978
H  0.1635  0.1639  0.7514
H  0.1639  0.1635  0.2514
H  0.4551  0.5449  0.0109
H  0.4770  0.0967  0.5019
H  0.5230  0.9033  0.0019
H  0.5449  0.4551  0.5109
H  0.8361  0.8365  0.7514
H  0.8365  0.8361  0.2514
H  0.8581  0.1419  0.4978
H  0.9033  0.5230  0.5019
Ir  0.2993  0.7007  0.0026
Ir  0.7007  0.2993  0.5026